1.
The following is a DFT calculation (PBE) of a relaxed ZrMn2SnH crystal.

Cell: 4.1785 4.1785 4.2089 Å, 90.00 90.00 90.00°
Last column: magnetic moment on the atom in μB.
Fractional positions:
H  0.0000  0.0000  0.0000  -0.01
Mn  0.0000  0.5000  0.0000  3.20
Mn  0.5000  0.0000  0.0000  3.20
Sn  0.5000  0.5000  0.5000  -0.04
Zr  0.0000  0.0000  0.5000  -0.26

Results
Symmetry   P4/mmm (123)
N(E_F)   3.9 states/eV per cell
Total energy   -0.2554 hartree per atom

2.
The following is a DFT calculation (PBE) of a relaxed CrNi2PdC crystal.

Cell: 3.8087 3.8087 3.9464 Å, 90.00 90.00 90.00°
Last column: magnetic moment on the atom in μB.
Fractional positions:
Ni  0.0000  0.5000  0.0000  0.23
Ni  0.5000  0.0000  0.0000  0.23
C  0.0000  0.0000  0.0000  -0.09
Pd  0.5000  0.5000  0.5000  0.21
Cr  0.0000  0.0000  0.5000  2.24

Results
Symmetry   P4/mmm (123)
Energy relative to the elements   0.10 eV/atom
N(E_F)   6.0 states/eV per cell